A plane-wave DFT calculation with PBEsol was carried out for a geometry-optimized Si2OsCl structure.

The total energy is -6.16 eV/atom. The excess energy over the best structure of this formula in the dataset comes out at 226.5 meV per atom. The formation energy without anion corrections is 0.268 eV/atom.

The structure belongs to space group C2/m (No. 12); the cell edges are 7.1361, 6.7812 and 2.7510 Å and the angles 90.00°, 112.16° and 90.00°. The distinct sites, in fractional coordinates, are Si at (0.2500, 0.2500, 0.0000), Os at (0.0000, 0.0000, 0.5000) and Cl at (0.0000, 0.5000, 0.5000).

***

A plane-wave DFT calculation with PBEsol was carried out for a geometry-optimized FeTc2As structure.

The total energy is -9.14 eV/atom. The value obtained for the energy relative to the elements is 0.012 eV/atom. The excess energy over the best structure of this formula in the dataset comes out at 10.7 meV per atom.

The structure belongs to space group Amm2 (No. 38); the cell edges are 3.9027, 2.7576 and 9.6144 Å and the angles 90.00°, 90.00° and 90.00°. The distinct sites, in fractional coordinates, are Fe at (0.0000, 0.0000, 0.0000), Tc at (0.0000, 0.0000, 0.7415), Tc at (0.5000, 0.0000, 0.3821) and As at (0.5000, 0.0000, 0.1233).

***

A plane-wave DFT calculation with PBEsol was carried out for a geometry-optimized AlNi2Au structure.

The total energy is -5.44 eV/atom. The value obtained for the energy relative to the elements is -0.360 eV/atom.

The structure belongs to space group I4/mmm (No. 139); the cell edges are 3.7991, 3.7991 and 7.0375 Å and the angles 90.00°, 90.00° and 90.00°. The distinct sites, in fractional coordinates, are Al at (0.0000, 0.0000, 0.0000), Ni at (0.0000, 0.5000, 0.2500) and Au at (0.0000, 0.0000, 0.5000).

***

A plane-wave DFT calculation with PBEsol was carried out for a geometry-optimized Ge2OsCO structure.

The total energy is -6.41 eV/atom. The formation energy without anion corrections is 0.984 eV/atom.

The structure belongs to space group P4/mmm (No. 123); the cell edges are 4.5658, 4.5658 and 2.9374 Å and the angles 90.00°, 90.00° and 90.00°. The distinct sites, in fractional coordinates, are Ge at (0.0000, 0.5000, 0.0000), Os at (0.0000, 0.0000, 0.5000), C at (0.5000, 0.5000, 0.0000) and O at (0.5000, 0.5000, 0.5000).

***

A plane-wave DFT calculation with PBEsol was carried out for a geometry-optimized CaSe2Br structure.

The total energy is -3.95 eV/atom. The excess energy over the best structure of this formula in the dataset comes out at 0.0 meV per atom. The formation energy without anion corrections is -1.026 eV/atom.

The structure belongs to space group P4/mmm (No. 123); the cell edges are 3.9762, 3.9762 and 5.8981 Å and the angles 90.00°, 90.00° and 90.00°. The distinct sites, in fractional coordinates, are Ca at (0.0000, 0.0000, 0.0000), Se at (0.0000, 0.5000, 0.5000) and Br at (0.5000, 0.5000, 0.0000).

***

A plane-wave DFT calculation with PBEsol was carried out for a geometry-optimized ZrSc2Tc structure.

The total energy is -8.53 eV/atom. The value obtained for the energy relative to the elements is -0.135 eV/atom. The excess energy over the best structure of this formula in the dataset comes out at 19.1 meV per atom.

The structure belongs to space group P4mm (No. 99); the cell edges are 3.2839, 3.2839 and 7.4533 Å and the angles 90.00°, 90.00° and 90.00°. The distinct sites, in fractional coordinates, are Zr at (0.0000, 0.0000, 0.0000), Sc at (0.0000, 0.0000, 0.5936), Sc at (0.5000, 0.5000, 0.2751) and Tc at (0.5000, 0.5000, 0.8019).

***

A plane-wave DFT calculation with PBEsol was carried out for a geometry-optimized Zn2TeOs structure.

The total energy is -4.24 eV/atom. The formation energy without anion corrections is 0.487 eV/atom.

The structure belongs to space group I4/mmm (No. 139); the cell edges are 3.8891, 3.8891 and 8.4800 Å and the angles 90.00°, 90.00° and 90.00°. The distinct sites, in fractional coordinates, are Zn at (0.0000, 0.5000, 0.2500), Te at (0.0000, 0.0000, 0.0000) and Os at (0.0000, 0.0000, 0.5000).

***

A plane-wave DFT calculation with PBEsol was carried out for a geometry-optimized Cu2Pt structure.

The total energy is -5.33 eV/atom. The value obtained for the energy relative to the elements is -0.121 eV/atom. The excess energy over the best structure of this formula in the dataset comes out at 4.1 meV per atom.

The structure belongs to space group Pnma (No. 62); the cell edges are 5.1979, 3.7454 and 7.7937 Å and the angles 90.00°, 90.00° and 90.00°. The distinct sites, in fractional coordinates, are Cu at (0.1120, 0.2500, 0.2491), Cu at (0.1276, 0.2500, 0.9181) and Pt at (0.1362, 0.2500, 0.5882).

***

A plane-wave DFT calculation with PBEsol was carried out for a geometry-optimized BaZn2Fe structure.

The total energy is -2.96 eV/atom. The value obtained for the energy relative to the elements is 0.611 eV/atom.

The structure belongs to space group F-43m (No. 216); the cell edges are 6.9623, 6.9623 and 6.9623 Å and the angles 90.00°, 90.00° and 90.00°. The distinct sites, in fractional coordinates, are Ba at (0.0000, 0.0000, 0.0000), Zn at (0.0000, 0.0000, 0.5000), Zn at (0.2500, 0.2500, 0.7500) and Fe at (0.2500, 0.2500, 0.2500).

***

A plane-wave DFT calculation with PBEsol was carried out for a geometry-optimized NiMoAs2 structure.

The total energy is -7.11 eV/atom. The value obtained for the energy relative to the elements is -0.072 eV/atom.

The structure belongs to space group P4/mmm (No. 123); the cell edges are 3.1381, 3.1381 and 5.6866 Å and the angles 90.00°, 90.00° and 90.00°. The distinct sites, in fractional coordinates, are Ni at (0.0000, 0.0000, 0.0000), Mo at (0.0000, 0.0000, 0.5000) and As at (0.5000, 0.5000, 0.2450).

***

A plane-wave DFT calculation with PBEsol was carried out for a geometry-optimized K2Hg3Ge2S8 structure.

The total energy is -3.81 eV/atom. The formation energy without anion corrections is -0.546 eV/atom.

The structure belongs to space group C2 (No. 5); the cell edges are 9.5987, 8.3516 and 9.6649 Å and the angles 90.00°, 94.34° and 90.00°. The distinct sites, in fractional coordinates, are K at (0.2189, 0.0000, 0.2311), Hg at (0.0000, 0.2122, 0.5000), Hg at (0.0000, 0.3645, 0.0000), Hg at (0.0000, 0.6908, 0.5000), Ge at (0.2340, 0.5099, 0.2707), S at (0.0362, 0.6510, 0.2548), S at (0.0775, 0.1648, 0.7427), S at (0.2389, 0.3612, 0.0768) and S at (0.2490, 0.8664, 0.5401).

***

A plane-wave DFT calculation with PBEsol was carried out for a geometry-optimized Y2WAu structure.

The total energy is -7.41 eV/atom. The value obtained for the energy relative to the elements is 0.430 eV/atom. The excess energy over the best structure of this formula in the dataset comes out at 166.3 meV per atom.

The structure belongs to space group R3m (No. 160, hexagonal axes); the cell edges are 3.2075, 3.2075 and 29.7661 Å and the angles 90.00°, 90.00° and 120.00°. The distinct sites, in fractional coordinates, are Y at (0.0000, 0.0000, 0.0000), Y at (0.0000, 0.0000, 0.2278), W at (0.0000, 0.0000, 0.7451) and Au at (0.0000, 0.0000, 0.4811).

***

A plane-wave DFT calculation with PBEsol was carried out for a geometry-optimized Cr2TeH2 structure.

The total energy is -5.93 eV/atom.

The structure belongs to space group I4/mmm (No. 139); the cell edges are 3.0863, 3.0863 and 10.1914 Å and the angles 90.00°, 90.00° and 90.00°. The distinct sites, in fractional coordinates, are Cr at (0.0000, 0.0000, 0.1606), Te at (0.0000, 0.0000, 0.5000) and H at (0.0000, 0.5000, 0.2500).

***

A plane-wave DFT calculation with PBEsol was carried out for a geometry-optimized MgGa2CuAg structure.

The total energy is -3.01 eV/atom. The value obtained for the energy relative to the elements is 0.201 eV/atom.

The structure belongs to space group P4/mmm (No. 123); the cell edges are 4.4976, 4.4976 and 4.8406 Å and the angles 90.00°, 90.00° and 90.00°. The distinct sites, in fractional coordinates, are Mg at (0.0000, 0.0000, 0.0000), Ga at (0.0000, 0.5000, 0.5000), Cu at (0.0000, 0.0000, 0.5000) and Ag at (0.5000, 0.5000, 0.0000).